Here is a geometry-optimized La4Nd2Dy structure from Alexandria via LeMat-Bulk. Energies are from PBE.

Properties
Its formation energy is 0.195 eV/atom. The volume is 36.2 A^3/atom. The value obtained for the energy above the most stable polymorph in this dataset is 132 meV/atom.

```
La4Nd2Dy
1.0
-3.491 5.863 6.196
3.491 -5.863 6.196
3.491 5.863 -6.196
La Nd Dy
8 4 2
direct
0.151 0.147 0.004 La
0.244 0.213 0.469 La
0.244 0.775 0.031 La
0.356 0.853 0.504 La
0.644 0.147 0.496 La
0.756 0.225 0.969 La
0.756 0.787 0.531 La
0.849 0.853 0.996 La
0.000 0.500 0.500 Nd
0.032 0.282 0.750 Nd
0.500 0.500 0.000 Nd
0.968 0.718 0.250 Nd
0.500 0.000 0.000 Dy
0.500 0.500 0.500 Dy
```

***

Here is a geometry-optimized La6NdDy4 structure from Alexandria via LeMat-Bulk. Energies are from PBE.

Properties
Its formation energy is 0.100 eV/atom. The volume is 35.2 A^3/atom.

```
La6NdDy4
1.0
2.976 -4.934 0.000
2.976 4.934 0.000
0.000 0.000 26.349
La Nd Dy
12 2 8
direct
0.000 0.000 0.000 La
0.000 0.000 0.500 La
0.049 0.951 0.750 La
0.304 0.696 0.098 La
0.304 0.696 0.402 La
0.373 0.627 0.681 La
0.373 0.627 0.819 La
0.627 0.373 0.181 La
0.627 0.373 0.319 La
0.696 0.304 0.598 La
0.696 0.304 0.902 La
0.951 0.049 0.250 La
0.293 0.707 0.250 Nd
0.707 0.293 0.750 Nd
0.038 0.962 0.625 Dy
0.038 0.962 0.875 Dy
0.347 0.653 0.545 Dy
0.347 0.653 0.955 Dy
0.653 0.347 0.045 Dy
0.653 0.347 0.455 Dy
0.962 0.038 0.125 Dy
0.962 0.038 0.375 Dy
```

***

Here is a geometry-optimized LaNd3Dy6 structure from Alexandria via LeMat-Bulk. Energies are from PBE.

Properties
Its formation energy is 0.287 eV/atom. The volume is 33.6 A^3/atom. The value obtained for the energy above the most stable polymorph in this dataset is 76 meV/atom.

```
LaNd3Dy6
1.0
4.988 2.880 3.903
-4.988 2.880 3.903
0.000 -5.760 3.903
La Nd Dy
1 3 6
direct
0.000 0.000 0.000 La
0.250 0.250 0.250 Nd
0.500 0.500 0.500 Nd
0.750 0.750 0.750 Nd
0.000 0.328 0.672 Dy
0.175 0.825 0.500 Dy
0.328 0.672 0.000 Dy
0.500 0.175 0.825 Dy
0.672 0.000 0.328 Dy
0.825 0.500 0.175 Dy
```

***

Here is a geometry-optimized La4NdDy4 structure from Alexandria via LeMat-Bulk. Energies are from PBE.

Properties
Its formation energy is 0.028 eV/atom. The volume is 34.4 A^3/atom.

```
La4NdDy4
1.0
-5.466 5.466 2.589
5.466 -5.466 2.589
5.466 5.466 -2.589
La Nd Dy
4 1 4
direct
0.167 0.167 0.335 La
0.167 0.833 0.000 La
0.833 0.167 0.000 La
0.833 0.833 0.665 La
0.500 0.500 0.000 Nd
0.163 0.500 0.663 Dy
0.500 0.163 0.663 Dy
0.500 0.837 0.337 Dy
0.837 0.500 0.337 Dy
```